<one>
Density functional theory data (PBE with a Hubbard U) for a relaxed structure of MnGaBrO2.

Output
Magnetic moment ... 10.0 μB/cell

CIF file:
```
data_MnGaBrO2
_symmetry_space_group_name_H-M 'P 1 21/m 1'
_symmetry_Int_Tables_number 11
_cell_length_a 6.457
_cell_length_b 4.004
_cell_length_c 7.114
_cell_angle_alpha 90.00
_cell_angle_beta 91.04
_cell_angle_gamma 90.00
loop_
_symmetry_equiv_pos_as_xyz
'x,y,z'
'-x,-y,-z'
'-x,y+1/2,-z'
'x,-y+1/2,z'
loop_
_atom_site_label
_atom_site_fract_x
_atom_site_fract_y
_atom_site_fract_z
_atom_site_occupancy
Mn1 0.168 0.250 0.413 1
Ga1 0.054 0.250 0.855 1
Br1 0.411 0.250 0.740 1
O1 0.010 0.250 0.119 1
O2 0.090 0.750 0.378 1
```

***

<two>
Density functional theory data (PBE with a Hubbard U) for a relaxed structure of MnGaBrO2.

Output
DOS(E_F) ... 2.512 states/eV/f.u.
Magnetic moment ... 3.3 μB/cell

CIF file:
```
data_MnGaBrO2
_symmetry_space_group_name_H-M 'P 4/m m m'
_symmetry_Int_Tables_number 123
_symmetry_space_group_name_Hall '-P 4 2'
_cell_length_a 3.906
_cell_length_b 3.906
_cell_length_c 5.815
_cell_angle_alpha 90.00
_cell_angle_beta 90.00
_cell_angle_gamma 90.00
loop_
_atom_site_label
_atom_site_fract_x
_atom_site_fract_y
_atom_site_fract_z
_atom_site_occupancy
Mn1 0.000 0.000 0.000 1
Ga1 0.500 0.500 0.500 1
Br1 0.000 0.000 0.500 1
O1 0.000 0.500 0.000 1
```

***

Winner for stability: <one>